Entry 1:
Compound: Li3Zn2Ni
Source: Alexandria
Functional: PBE-GGA
Structure: optimized geometry

```
data_Li3Zn2Ni
_cell_length_a 4.434
_cell_length_b 4.434
_cell_length_c 8.791
_cell_angle_alpha 101.81
_cell_angle_beta 101.81
_cell_angle_gamma 99.51
_space_group_name_H-M_alt 'P 1'
_space_group_IT_number 1
_space_group_name_Hall 'P 1'
loop_
_atom_site_label
_atom_site_type_symbol
_atom_site_fract_x
_atom_site_fract_y
_atom_site_fract_z
Zn1 Zn 0.710 0.960 0.421
Li1 Li 0.451 0.199 0.899
Zn2 Zn 0.040 0.290 0.079
Li2 Li 0.199 0.451 0.399
Ni1 Ni 0.123 0.877 0.250
Li3 Li 0.625 0.375 0.250
Zn3 Zn 0.960 0.710 0.921
Ni2 Ni 0.877 0.123 0.750
Zn4 Zn 0.290 0.040 0.579
Li4 Li 0.801 0.549 0.601
Li5 Li 0.375 0.625 0.750
Li6 Li 0.549 0.801 0.101
```

Summary:
Total moment, μB/f.u.: 0.00
Formation energy from the elements, eV per atom: -0.135
Polymorph energy (0 for the lowest one), eV/atom: 0.000

Entry 2:
Compound: LiZn3Ni4
Source: Alexandria
Functional: PBE-GGA
Structure: optimized geometry

```
data_LiZn3Ni4
_cell_length_a 3.363
_cell_length_b 3.759
_cell_length_c 7.523
_cell_angle_alpha 90.00
_cell_angle_beta 90.00
_cell_angle_gamma 90.00
_space_group_name_H-M_alt 'P 1'
_space_group_IT_number 1
_space_group_name_Hall 'P 1'
loop_
_atom_site_label
_atom_site_type_symbol
_atom_site_fract_x
_atom_site_fract_y
_atom_site_fract_z
Zn1 Zn 0.500 0.000 0.243
Ni1 Ni 0.000 0.500 0.250
Li1 Li 0.500 0.500 0.000
Ni2 Ni 0.000 0.500 0.750
Zn2 Zn 0.500 0.500 0.500
Zn3 Zn 0.500 0.000 0.757
Ni3 Ni 0.000 0.000 0.500
Ni4 Ni 0.000 0.000 0.000
```

Summary:
Total moment, μB/f.u.: 0.00
Formation energy from the elements, eV per atom: -0.185

Entry 3:
Compound: LiZnNi2
Source: Alexandria
Functional: PBE-GGA
Structure: optimized geometry

```
data_LiZnNi2
_cell_length_a 2.490
_cell_length_b 3.803
_cell_length_c 5.226
_cell_angle_alpha 90.00
_cell_angle_beta 109.62
_cell_angle_gamma 90.00
_space_group_name_H-M_alt 'P 1'
_space_group_IT_number 1
_space_group_name_Hall 'P 1'
loop_
_atom_site_label
_atom_site_type_symbol
_atom_site_fract_x
_atom_site_fract_y
_atom_site_fract_z
Zn1 Zn 0.471 0.000 0.497
Ni1 Ni 0.033 0.000 0.002
Li1 Li 0.248 0.500 0.758
Ni2 Ni 0.749 0.500 0.243
```

Summary:
Total moment, μB/f.u.: 0.00
Formation energy from the elements, eV per atom: -0.095

Entry 4:
Compound: LiZnNi2
Source: Alexandria
Functional: PBE-GGA
Structure: optimized geometry

```
data_LiZnNi2
_cell_length_a 4.341
_cell_length_b 4.341
_cell_length_c 4.341
_cell_angle_alpha 130.21
_cell_angle_beta 130.21
_cell_angle_gamma 73.07
_space_group_name_H-M_alt 'P 1'
_space_group_IT_number 1
_space_group_name_Hall 'P 1'
loop_
_atom_site_label
_atom_site_type_symbol
_atom_site_fract_x
_atom_site_fract_y
_atom_site_fract_z
Zn1 Zn 0.250 0.750 0.500
Ni1 Ni 0.500 0.500 0.000
Li1 Li 0.750 0.250 0.500
Ni2 Ni 0.000 0.000 0.000
```

Summary:
Total moment, μB/f.u.: 0.00
Formation energy from the elements, eV per atom: -0.129

Entry 5:
Compound: LiZn5Ni
Source: Alexandria
Functional: PBE-GGA
Structure: optimized geometry

```
data_LiZn5Ni
_cell_length_a 4.169
_cell_length_b 4.170
_cell_length_c 5.980
_cell_angle_alpha 90.00
_cell_angle_beta 90.00
_cell_angle_gamma 90.00
_space_group_name_H-M_alt 'P 1'
_space_group_IT_number 1
_space_group_name_Hall 'P 1'
loop_
_atom_site_label
_atom_site_type_symbol
_atom_site_fract_x
_atom_site_fract_y
_atom_site_fract_z
Zn1 Zn 0.000 0.500 0.219
Zn2 Zn 0.500 0.000 0.219
Ni1 Ni 0.500 0.500 0.000
Zn3 Zn 0.500 0.000 0.781
Zn4 Zn 0.000 0.500 0.781
Li1 Li 0.000 0.000 0.500
Zn5 Zn 0.500 0.500 0.500
```

Summary:
Total moment, μB/f.u.: 0.00
Formation energy from the elements, eV per atom: -0.084
Polymorph energy (0 for the lowest one), eV/atom: 0.000

Entry 6:
Compound: LiZnNi2
Source: Alexandria
Functional: PBE-GGA
Structure: optimized geometry

```
data_LiZnNi2
_cell_length_a 3.717
_cell_length_b 2.510
_cell_length_c 5.585
_cell_angle_alpha 64.45
_cell_angle_beta 90.00
_cell_angle_gamma 90.00
_space_group_name_H-M_alt 'P 1'
_space_group_IT_number 1
_space_group_name_Hall 'P 1'
loop_
_atom_site_label
_atom_site_type_symbol
_atom_site_fract_x
_atom_site_fract_y
_atom_site_fract_z
Zn1 Zn 0.000 0.511 0.494
Ni1 Ni 0.000 0.991 0.004
Li1 Li 0.500 0.743 0.759
Ni2 Ni 0.500 0.256 0.244
```

Summary:
Total moment, μB/f.u.: 0.00
Formation energy from the elements, eV per atom: -0.101

What is the formation energy from the elements in the second record? -0.185 eV per atom

What did the sixth record say?
Compound: LiZnNi2
Source: Alexandria
Functional: PBE-GGA
Structure: optimized geometry

```
data_LiZnNi2
_cell_length_a 3.717
_cell_length_b 2.510
_cell_length_c 5.585
_cell_angle_alpha 64.45
_cell_angle_beta 90.00
_cell_angle_gamma 90.00
_space_group_name_H-M_alt 'P 1'
_space_group_IT_number 1
_space_group_name_Hall 'P 1'
loop_
_atom_site_label
_atom_site_type_symbol
_atom_site_fract_x
_atom_site_fract_y
_atom_site_fract_z
Zn1 Zn 0.000 0.511 0.494
Ni1 Ni 0.000 0.991 0.004
Li1 Li 0.500 0.743 0.759
Ni2 Ni 0.500 0.256 0.244
```

Summary:
Total moment, μB/f.u.: 0.00
Formation energy from the elements, eV per atom: -0.101

What is the total moment in the third record? 0.00 μB/f.u.

Which formula does entry 5 have? LiZn5Ni